Here is a relaxed structure of Ba2VCu2F12 from Alexandria via LeMat-Bulk. Energies are from PBEsol.

Results
spin magnetization	2.7	Bohr magnetons per cell
formation energy without anion corrections	-2.762	eV/atom

a b c (Å): 5.281 7.006 7.274
angles (deg): 65.70 70.13 71.98
Space group P-1 (No. 2)
One atom of each set of equivalent atoms:
Ba  0.219  0.292  0.283 [2 per cell]
V  0.000  0.000  0.000 [1 per cell]
Cu  0.450  0.714  0.332 [2 per cell]
F  0.028  0.735  0.998 [2 per cell]
F  0.095  0.884  0.257 [2 per cell]
F  0.227  0.448  0.565 [2 per cell]
F  0.327  0.851  0.532 [2 per cell]
F  0.363  0.993  0.865 [2 per cell]
F  0.464  0.416  0.866 [2 per cell]

Here is a relaxed structure of BeIr2W from Alexandria via LeMat-Bulk. Energies are from PBEsol.

Results
formation energy	-483	meV per atom
spin magnetization	0.0	Bohr magnetons per cell

a b c (Å): 2.786 2.786 6.572
angles (deg): 90.00 90.00 90.00
Space group P4/mmm (No. 123)
One atom of each set of equivalent atoms:
Be  0.000  0.000  0.000 [1 per cell]
Ir  0.500  0.500  0.215 [2 per cell]
W  0.000  0.000  0.500 [1 per cell]

Here is a relaxed structure of YAsOs from Alexandria via LeMat-Bulk. Energies are from PBEsol.

Results
formation energy	-16	meV per atom
spin magnetization	2.3	Bohr magnetons per cell

a b c (Å): 6.193 6.193 6.193
angles (deg): 90.00 90.00 90.00
Space group F-43m (No. 216)
One atom of each set of equivalent atoms:
Y  0.000  0.000  0.000 [4 per cell]
As  0.250  0.250  0.250 [4 per cell]
Os  0.000  0.000  0.500 [4 per cell]